[1]
Below is crystalline Pa2ZnPd6 at its relaxed geometry, with properties calculated at the PBE level.

Structure (POSCAR):
```
Pa2ZnPd6
1.0
4.945 -2.855 0.000
4.945 2.855 0.000
-0.010 0.000 5.828
Pa Zn Pd
2 1 6
Direct
0.167 0.167 0.290 Pa
0.833 0.833 0.710 Pa
0.500 0.500 0.500 Zn
0.152 0.674 0.189 Pd
0.326 0.326 0.810 Pd
0.326 0.848 0.811 Pd
0.674 0.152 0.189 Pd
0.674 0.674 0.190 Pd
0.848 0.326 0.811 Pd
```

Results
ΔE_f in meV per atom: -582.3
Space-group type: No. 12

[2]
Below is crystalline PmTeI2 at its relaxed geometry, with properties calculated at the PBE level.

Structure (POSCAR):
```
PmTeI2
1.0
2.004 1.157 11.790
-2.004 1.157 11.790
0.000 -2.315 11.790
Pm Te I
1 1 2
Direct
0.000 0.000 0.000 Pm
0.500 0.500 0.500 Te
0.393 0.393 0.393 I
0.607 0.607 0.607 I
```

Results
Space-group type: No. 166
Raw formation energy in meV per atom: -629

[3]
Below is crystalline PmLuHgRh at its relaxed geometry, with properties calculated at the PBE level.

Structure (POSCAR):
```
PmLuHgRh
1.0
0.000 3.585 3.585
3.585 0.000 3.585
3.585 3.585 0.000
Pm Lu Hg Rh
1 1 1 1
Direct
0.000 0.000 0.000 Pm
0.500 0.500 0.500 Lu
0.250 0.250 0.250 Hg
0.750 0.750 0.750 Rh
```

Results
ΔE_f in meV per atom: -582.9
Space-group type: No. 216

[4]
Below is crystalline LiDy2HoS4 at its relaxed geometry, with properties calculated at the PBE level.

Structure (POSCAR):
```
LiDy2HoS4
1.0
6.706 0.000 0.000
0.000 3.871 0.000
-2.226 0.000 6.327
Li Dy Ho S
1 2 1 4
Direct
0.000 0.000 0.000 Li
0.000 0.500 0.500 Dy
0.500 0.000 0.500 Dy
0.500 0.500 0.000 Ho
0.245 0.500 0.244 S
0.247 0.000 0.756 S
0.753 0.000 0.244 S
0.755 0.500 0.756 S
```

Results
Space-group type: No. 10
Raw formation energy in meV per atom: -1936

[5]
Below is crystalline BeOsS2Cl at its relaxed geometry, with properties calculated at the PBE level.

Structure (POSCAR):
```
BeOsS2Cl
1.0
4.547 0.000 0.000
0.000 4.547 0.000
0.000 0.000 4.996
Be Os S Cl
1 1 2 1
Direct
0.000 0.000 0.000 Be
0.500 0.500 0.500 Os
0.000 0.500 0.500 S
0.500 0.000 0.500 S
0.500 0.500 0.000 Cl
```

Results
Space-group type: No. 123
Raw formation energy in meV per atom: 771

[6]
Below is crystalline LiU3Tl4S8 at its relaxed geometry, with properties calculated at the PBE level.

Structure (POSCAR):
```
LiU3Tl4S8
1.0
4.001 2.310 7.529
-4.001 2.310 7.529
0.000 -4.620 7.529
Li U Tl S
1 3 4 8
Direct
0.000 0.000 0.000 Li
0.000 0.500 0.500 U
0.500 0.000 0.500 U
0.500 0.500 0.000 U
0.000 0.000 0.500 Tl
0.000 0.500 0.000 Tl
0.500 0.000 0.000 Tl
0.500 0.500 0.500 Tl
0.235 0.235 0.723 S
0.235 0.723 0.235 S
0.267 0.267 0.267 S
0.277 0.765 0.765 S
0.723 0.235 0.235 S
0.733 0.733 0.733 S
0.765 0.277 0.765 S
0.765 0.765 0.277 S
```

Results
Space-group type: No. 166
Raw formation energy in meV per atom: -1027

[7]
Below is crystalline Be2PBr at its relaxed geometry, with properties calculated at the PBE level.

Structure (POSCAR):
```
Be2PBr
1.0
3.260 0.000 0.000
0.000 3.260 0.000
0.000 0.000 6.578
Be P Br
2 1 1
Direct
0.000 0.000 0.000 Be
0.500 0.500 0.321 Be
0.500 0.500 0.006 P
0.000 0.000 0.471 Br
```

Results
Space-group type: No. 99
Raw formation energy in meV per atom: 72

[8]
Below is crystalline Y4HoEr at its relaxed geometry, with properties calculated at the PBE level.

Structure (POSCAR):
```
Y4HoEr
1.0
3.550 0.000 0.000
1.771 5.901 0.000
1.758 1.649 9.088
Y Ho Er
4 1 1
Direct
0.166 0.001 0.167 Y
0.166 0.501 0.667 Y
0.834 0.499 0.333 Y
0.834 0.999 0.833 Y
0.500 0.000 0.500 Ho
0.500 0.500 0.000 Er
```

Results
ΔE_f in meV per atom: 26.1
Space-group type: No. 2

[9]
Below is crystalline Li2MgAg8 at its relaxed geometry, with properties calculated at the PBE level.

Structure (POSCAR):
```
Li2MgAg8
1.0
4.418 0.000 0.000
0.001 7.128 0.000
2.146 3.556 6.342
Li Mg Ag
2 1 8
Direct
0.000 0.000 0.000 Li
0.307 0.311 0.383 Li
0.651 0.738 0.695 Mg
0.004 0.573 0.991 Ag
0.152 0.428 0.694 Ag
0.299 0.870 0.399 Ag
0.457 0.750 0.085 Ag
0.498 0.281 0.002 Ag
0.653 0.144 0.692 Ag
0.808 0.591 0.385 Ag
0.849 0.139 0.301 Ag
```

Results
ΔE_f in meV per atom: -92.7
Space-group type: No. 1

[10]
Below is crystalline KCd3Au3 at its relaxed geometry, with properties calculated at the PBE level.

Structure (POSCAR):
```
KCd3Au3
1.0
3.967 2.290 6.200
-3.967 2.290 6.200
0.000 -4.580 6.200
K Cd Au
2 6 6
Direct
0.134 0.134 0.134 K
0.866 0.866 0.866 K
0.176 0.177 0.569 Cd
0.177 0.569 0.176 Cd
0.431 0.824 0.823 Cd
0.569 0.176 0.177 Cd
0.823 0.431 0.824 Cd
0.824 0.823 0.431 Cd
0.186 0.563 0.564 Au
0.436 0.814 0.437 Au
0.437 0.436 0.814 Au
0.563 0.564 0.186 Au
0.564 0.186 0.563 Au
0.814 0.437 0.436 Au
```

Results
ΔE_f in meV per atom: -148.3
Space-group type: No. 148

[11]
Below is crystalline CoTcCl2 at its relaxed geometry, with properties calculated at the PBE level.

Structure (POSCAR):
```
CoTcCl2
1.0
1.548 0.894 7.763
-1.548 0.894 7.763
0.000 -1.787 7.763
Co Tc Cl
1 1 2
Direct
0.000 0.000 0.000 Co
0.500 0.500 0.500 Tc
0.400 0.400 0.400 Cl
0.600 0.600 0.600 Cl
```

Results
Space-group type: No. 166
Raw formation energy in meV per atom: 320

[12]
Below is crystalline TaAl3H at its relaxed geometry, with properties calculated at the PBE level.

Structure (POSCAR):
```
TaAl3H
1.0
4.034 0.000 0.000
0.000 4.034 0.000
0.000 0.000 4.034
Ta Al H
1 3 1
Direct
0.000 0.000 0.000 Ta
0.000 0.500 0.500 Al
0.500 0.000 0.500 Al
0.500 0.500 0.000 Al
0.500 0.500 0.500 H
```

Results
Space-group type: No. 221

Raw total energy (eV per atom)
-6.296 -3.377 -4.814 -5.962 -4.240 -5.919 -3.561 -5.807 -2.659 -2.102 -4.972 -5.318